CsRb2SbH: relaxed, GGA-PBE.

The value obtained for the total energy is -2.26 eV/atom.

The space group is P4/mmm (No. 123) and the conventional cell measures 5.758, 5.758 and 6.032 Å, with angles of 90.00, 90.00 and 90.00 degrees. The asymmetric unit holds Cs at (0.000, 0.000, 0.000), Rb at (0.000, 0.500, 0.500), Sb at (0.500, 0.500, 0.000) and H at (0.000, 0.000, 0.500).

CsRb2Sb2H2: relaxed, GGA-PBE.

The value obtained for the total energy is -2.69 eV/atom.

The space group is C2/m (No. 12) and the conventional cell measures 6.968, 7.030 and 11.190 Å, with angles of 90.00, 104.33 and 90.00 degrees. The asymmetric unit holds Cs at (0.000, 0.000, 0.000), Rb at (0.220, 0.000, 0.377), Sb at (0.181, 0.500, 0.257) and H at (0.065, 0.500, 0.830).

CsRb2HSe: relaxed, GGA-PBE.

The value obtained for the total energy is -2.56 eV/atom.

The space group is P4/mmm (No. 123) and the conventional cell measures 5.524, 5.524 and 5.729 Å, with angles of 90.00, 90.00 and 90.00 degrees. The asymmetric unit holds Cs at (0.000, 0.000, 0.000), Rb at (0.000, 0.500, 0.500), H at (0.000, 0.000, 0.500) and Se at (0.500, 0.500, 0.000).

CsRbSiH6: relaxed, GGA-PBE.

The value obtained for the total energy is -3.16 eV/atom.

The space group is P312 (No. 149) and the conventional cell measures 6.0482, 6.0482 and 5.2253 Å, with angles of 90.00, 90.00 and 120.00 degrees. The asymmetric unit holds Cs at (0.0000, 0.0000, 0.0000), Rb at (0.6667, 0.3333, 0.5000), Si at (0.3333, 0.6667, 0.5000) and H at (0.1168, 0.4499, 0.3195).

Cs2RbSiH6: relaxed, GGA-PBE.

The value obtained for the total energy is -2.97 eV/atom.

The space group is Pmmn (No. 59, origin choice 2) and the conventional cell measures 5.735, 8.551 and 10.017 Å, with angles of 90.00, 90.00 and 90.00 degrees. The asymmetric unit holds Cs at (0.250, 0.000, 0.142), Rb at (0.250, 0.250, 0.510), Si at (0.250, 0.750, 0.843), H at (0.046, 0.750, 0.732), H at (0.051, 0.750, 0.960) and H at (0.250, 0.561, 0.846).

CsRb2TcH6: relaxed, GGA-PBE.

The value obtained for the total energy is -3.37 eV/atom.

The space group is Immm (No. 71) and the conventional cell measures 6.429, 6.431 and 9.108 Å, with angles of 90.00, 90.00 and 90.00 degrees. The asymmetric unit holds Cs at (0.000, 0.000, 0.000), Rb at (0.000, 0.500, 0.248), Tc at (0.000, 0.000, 0.500), H at (0.000, 0.000, 0.304) and H at (0.200, 0.192, 0.500).

CsRb2TeH: relaxed, GGA-PBE.

The value obtained for the total energy is -2.51 eV/atom.

The space group is P4/mmm (No. 123) and the conventional cell measures 5.709, 5.709 and 5.873 Å, with angles of 90.00, 90.00 and 90.00 degrees. The asymmetric unit holds Cs at (0.000, 0.000, 0.000), Rb at (0.000, 0.500, 0.500), Te at (0.500, 0.500, 0.000) and H at (0.000, 0.000, 0.500).

Cs2RbTeH: relaxed, GGA-PBE.

The value obtained for the total energy is -2.49 eV/atom.

The space group is P4/mmm (No. 123) and the conventional cell measures 5.923, 5.923 and 5.735 Å, with angles of 90.00, 90.00 and 90.00 degrees. The asymmetric unit holds Cs at (0.000, 0.500, 0.000), Rb at (0.000, 0.000, 0.500), Te at (0.500, 0.500, 0.500) and H at (0.000, 0.000, 0.000).